# Pu2BN4, optimized geometry, DFT PBE
# formation energy without anion corrections	-855	meV per atom
# total magnetization	7.00	μB/f.u.
# VASP energy	-10.661	eV/atom
data_Pu2BN4
_chemical_formula_sum 'Pu4 B2 N8'
_symmetry_space_group_name_H-M 'P 1 21/m 1'
_symmetry_Int_Tables_number 11
_cell_length_a 4.9680
_cell_length_b 5.0375
_cell_length_c 6.6165
_cell_angle_alpha 90.00
_cell_angle_beta 107.90
_cell_angle_gamma 90.00
loop_
_symmetry_equiv_pos_as_xyz
'x,y,z'
'-x,-y,-z'
'-x,y+1/2,-z'
'x,-y+1/2,z'
loop_
_atom_site_label
_atom_site_type_symbol
_atom_site_fract_x
_atom_site_fract_y
_atom_site_fract_z
_atom_site_occupancy
Pu1 Pu 0.2239 0.2500 0.4369 1
Pu2 Pu 0.2740 0.2500 0.9596 1
B1 B 0.2760 0.7500 0.2138 1
N1 N 0.0538 0.7500 0.3473 1
N2 N 0.1256 0.7500 0.9575 1
N3 N 0.4761 0.5102 0.2704 1


# Ho3BiH3, optimized geometry, DFT PBE
# total magnetization	0.00	μB/f.u.
# VASP energy	-4.516	eV/atom
data_Ho3BiH3
_chemical_formula_sum 'Ho6 Bi2 H6'
_symmetry_space_group_name_H-M 'P m -3 n'
_symmetry_Int_Tables_number 223
_symmetry_space_group_name_Hall '-P 4n 2 3'
_cell_length_a 6.2296
_cell_length_b 6.2296
_cell_length_c 6.2296
_cell_angle_alpha 90.00
_cell_angle_beta 90.00
_cell_angle_gamma 90.00
loop_
_atom_site_label
_atom_site_type_symbol
_atom_site_fract_x
_atom_site_fract_y
_atom_site_fract_z
_atom_site_occupancy
Ho1 Ho 0.0000 0.2500 0.5000 1
Bi1 Bi 0.0000 0.0000 0.0000 1
H1 H 0.0000 0.5000 0.2500 1


# CdAgS2, optimized geometry, DFT PBE
# formation energy without anion corrections	-71	meV per atom
# total magnetization	0.00	μB/f.u.
# VASP energy	-3.076	eV/atom
data_CdAgS2
_chemical_formula_sum 'Cd3 Ag3 S6'
_symmetry_space_group_name_H-M 'R 3 m'
_symmetry_Int_Tables_number 160
_symmetry_space_group_name_Hall 'R 3 -2"'
_cell_length_a 3.7800
_cell_length_b 3.7800
_cell_length_c 19.4814
_cell_angle_alpha 90.00
_cell_angle_beta 90.00
_cell_angle_gamma 120.00
loop_
_atom_site_label
_atom_site_type_symbol
_atom_site_fract_x
_atom_site_fract_y
_atom_site_fract_z
_atom_site_occupancy
Cd1 Cd 0.0000 0.0000 0.0000 1
Ag1 Ag 0.0000 0.0000 0.8321 1
S1 S 0.0000 0.0000 0.2465 1
S2 S 0.0000 0.0000 0.4196 1


# RbHfTe2, optimized geometry, DFT PBE
# formation energy without anion corrections	-613	meV per atom
# total magnetization	1.00	μB/f.u.
# VASP energy	-4.914	eV/atom
data_RbHfTe2
_chemical_formula_sum 'Rb4 Hf4 Te8'
_symmetry_space_group_name_H-M 'I -4 2 d'
_symmetry_Int_Tables_number 122
_symmetry_space_group_name_Hall 'I -4 2bw'
_cell_length_a 8.5223
_cell_length_b 8.5223
_cell_length_c 9.2001
_cell_angle_alpha 90.00
_cell_angle_beta 90.00
_cell_angle_gamma 90.00
loop_
_atom_site_label
_atom_site_type_symbol
_atom_site_fract_x
_atom_site_fract_y
_atom_site_fract_z
_atom_site_occupancy
Rb1 Rb 0.0000 0.0000 0.0000 1
Hf1 Hf 0.0000 0.0000 0.5000 1
Te1 Te 0.1629 0.2500 0.6250 1


# CrCo2NiH4, optimized geometry, DFT PBE
# total magnetization	3.90	μB/f.u.
# VASP energy	-5.356	eV/atom
data_CrCo2NiH4
_chemical_formula_sum 'Cr1 Co2 Ni1 H4'
_symmetry_space_group_name_H-M 'P 1 2/m 1'
_symmetry_Int_Tables_number 10
_cell_length_a 4.6013
_cell_length_b 2.6260
_cell_length_c 4.6111
_cell_angle_alpha 90.00
_cell_angle_beta 110.04
_cell_angle_gamma 90.00
loop_
_symmetry_equiv_pos_as_xyz
'x,y,z'
'-x,-y,-z'
'-x,y,-z'
'x,-y,z'
loop_
_atom_site_label
_atom_site_type_symbol
_atom_site_fract_x
_atom_site_fract_y
_atom_site_fract_z
_atom_site_occupancy
Cr1 Cr 0.0000 0.0000 0.0000 1
Co1 Co 0.5000 0.0000 0.5000 1
Co2 Co 0.5000 0.5000 0.0000 1
Ni1 Ni 0.0000 0.5000 0.5000 1
H1 H 0.2643 0.0000 0.7561 1
H2 H 0.2654 0.5000 0.2533 1


# DySc2In2, optimized geometry, DFT PBE
# energy relative to the elements	-33	meV per atom
# total magnetization	0.05	μB/f.u.
# energy above the most stable polymorph in this dataset	1.29	eV per formula unit
# VASP energy	-4.581	eV/atom
data_DySc2In2
_chemical_formula_sum 'Dy2 Sc4 In4'
_symmetry_space_group_name_H-M 'C m m m'
_symmetry_Int_Tables_number 65
_symmetry_space_group_name_Hall '-C 2 2'
_cell_length_a 5.2471
_cell_length_b 7.9918
_cell_length_c 6.4320
_cell_angle_alpha 90.00
_cell_angle_beta 90.00
_cell_angle_gamma 90.00
loop_
_atom_site_label
_atom_site_type_symbol
_atom_site_fract_x
_atom_site_fract_y
_atom_site_fract_z
_atom_site_occupancy
Dy1 Dy 0.0000 0.0000 0.0000 1
Sc1 Sc 0.0000 0.1704 0.5000 1
In1 In 0.0000 0.5000 0.2639 1


# PSe2N2, optimized geometry, DFT PBE
# formation energy without anion corrections	1634	meV per atom
# total magnetization	0.00	μB/f.u.
# energy above the most stable polymorph in this dataset	3.61	eV per formula unit
# VASP energy	-4.172	eV/atom
data_PSe2N2
_chemical_formula_sum 'P1 Se2 N2'
_symmetry_space_group_name_H-M 'P 4/m m m'
_symmetry_Int_Tables_number 123
_symmetry_space_group_name_Hall '-P 4 2'
_cell_length_a 3.6634
_cell_length_b 3.6634
_cell_length_c 7.9495
_cell_angle_alpha 90.00
_cell_angle_beta 90.00
_cell_angle_gamma 90.00
loop_
_atom_site_label
_atom_site_type_symbol
_atom_site_fract_x
_atom_site_fract_y
_atom_site_fract_z
_atom_site_occupancy
P1 P 0.0000 0.0000 0.0000 1
Se1 Se 0.5000 0.5000 0.0000 1
Se2 Se 0.5000 0.5000 0.5000 1
N1 N 0.0000 0.5000 0.5000 1


# Pu2HfTh, optimized geometry, DFT PBE
# energy relative to the elements	187	meV per atom
# total magnetization	11.24	μB/f.u.
# energy above the most stable polymorph in this dataset	0.00	eV per formula unit
# VASP energy	-11.323	eV/atom
data_Pu2HfTh
_chemical_formula_sum 'Pu2 Hf1 Th1'
_symmetry_space_group_name_H-M 'P 4/m m m'
_symmetry_Int_Tables_number 123
_symmetry_space_group_name_Hall '-P 4 2'
_cell_length_a 4.7032
_cell_length_b 4.7032
_cell_length_c 4.7717
_cell_angle_alpha 90.00
_cell_angle_beta 90.00
_cell_angle_gamma 90.00
loop_
_atom_site_label
_atom_site_type_symbol
_atom_site_fract_x
_atom_site_fract_y
_atom_site_fract_z
_atom_site_occupancy
Pu1 Pu 0.0000 0.5000 0.0000 1
Hf1 Hf 0.0000 0.0000 0.5000 1
Th1 Th 0.5000 0.5000 0.5000 1


# Pa2RuAu, optimized geometry, DFT PBE
# energy relative to the elements	-216	meV per atom
# total magnetization	0.75	μB/f.u.
# energy above the most stable polymorph in this dataset	0.53	eV per formula unit
# VASP energy	-8.102	eV/atom
data_Pa2RuAu
_chemical_formula_sum 'Pa8 Ru4 Au4'
_symmetry_space_group_name_H-M 'F m -3 m'
_symmetry_Int_Tables_number 225
_symmetry_space_group_name_Hall '-F 4 2 3'
_cell_length_a 7.0179
_cell_length_b 7.0179
_cell_length_c 7.0179
_cell_angle_alpha 90.00
_cell_angle_beta 90.00
_cell_angle_gamma 90.00
loop_
_atom_site_label
_atom_site_type_symbol
_atom_site_fract_x
_atom_site_fract_y
_atom_site_fract_z
_atom_site_occupancy
Pa1 Pa 0.2500 0.2500 0.2500 1
Ru1 Ru 0.0000 0.0000 0.0000 1
Au1 Au 0.0000 0.0000 0.5000 1


# PaAl5Rh, optimized geometry, DFT PBE
# energy relative to the elements	-541	meV per atom
# total magnetization	0.00	μB/f.u.
# VASP energy	-5.621	eV/atom
data_PaAl5Rh
_chemical_formula_sum 'Pa1 Al5 Rh1'
_symmetry_space_group_name_H-M 'P 4/m m m'
_symmetry_Int_Tables_number 123
_symmetry_space_group_name_Hall '-P 4 2'
_cell_length_a 4.3103
_cell_length_b 4.3103
_cell_length_c 6.9598
_cell_angle_alpha 90.00
_cell_angle_beta 90.00
_cell_angle_gamma 90.00
loop_
_atom_site_label
_atom_site_type_symbol
_atom_site_fract_x
_atom_site_fract_y
_atom_site_fract_z
_atom_site_occupancy
Pa1 Pa 0.0000 0.0000 0.0000 1
Al1 Al 0.0000 0.5000 0.3044 1
Al2 Al 0.5000 0.5000 0.0000 1
Rh1 Rh 0.0000 0.0000 0.5000 1


# Nd8DyIn6, optimized geometry, DFT PBE
# energy relative to the elements	-244	meV per atom
# total magnetization	0.00	μB/f.u.
# VASP energy	-4.189	eV/atom
data_Nd8DyIn6
_chemical_formula_sum 'Nd24 Dy3 In18'
_symmetry_space_group_name_H-M 'R -3'
_symmetry_Int_Tables_number 148
_symmetry_space_group_name_Hall '-R 3'
_cell_length_a 9.2353
_cell_length_b 9.2353
_cell_length_c 19.9505
_cell_angle_alpha 90.00
_cell_angle_beta 90.00
_cell_angle_gamma 120.00
loop_
_atom_site_label
_atom_site_type_symbol
_atom_site_fract_x
_atom_site_fract_y
_atom_site_fract_z
_atom_site_occupancy
Nd1 Nd 0.0000 0.0000 0.1655 1
Nd2 Nd 0.0005 0.3351 0.3845 1
Dy1 Dy 0.0000 0.0000 0.5000 1
In1 In 0.0005 0.6729 0.4459 1


# CdCu2Mo, optimized geometry, DFT PBE
# energy relative to the elements	572	meV per atom
# total magnetization	1.68	μB/f.u.
# VASP energy	-4.413	eV/atom
data_CdCu2Mo
_chemical_formula_sum 'Cd4 Cu8 Mo4'
_symmetry_space_group_name_H-M 'F -4 3 m'
_symmetry_Int_Tables_number 216
_symmetry_space_group_name_Hall 'F -4 2 3'
_cell_length_a 6.2746
_cell_length_b 6.2746
_cell_length_c 6.2746
_cell_angle_alpha 90.00
_cell_angle_beta 90.00
_cell_angle_gamma 90.00
loop_
_atom_site_label
_atom_site_type_symbol
_atom_site_fract_x
_atom_site_fract_y
_atom_site_fract_z
_atom_site_occupancy
Cd1 Cd 0.0000 0.0000 0.0000 1
Cu1 Cu 0.0000 0.0000 0.5000 1
Cu2 Cu 0.2500 0.2500 0.2500 1
Mo1 Mo 0.2500 0.2500 0.7500 1